Entry from Alexandria: Ho3Tm6Pu after structural relaxation (PBE).

The distance to the lowest polymorph of the same formula comes out at 0 meV per atom. The calculation puts the density of states at the Fermi level at 1.983 states/eV per atom. The calculation puts the spin magnetization at 11.874 μB/cell. The space-group type is Cmc2_1 (36).

Cell lengths 6.0695, 10.7175, 10.7175 Å; angles 119.20, 90.00, 90.00 degrees
Fractional coordinates of all 20 atoms:
1 Tm 0.0292 0.7078 0.6161
2 Tm 0.3724 0.5477 0.9650
3 Tm 0.3724 0.0350 0.4523
4 Tm 0.0292 0.3839 0.2922
5 Tm 0.5292 0.2922 0.3839
6 Tm 0.5292 0.6161 0.7078
7 Tm 0.8724 0.9650 0.5477
8 Tm 0.4360 0.9450 0.0550
9 Tm 0.1351 0.7194 0.2806
10 Tm 0.8724 0.4523 0.0350
11 Tm 0.6351 0.2806 0.7194
12 Tm 0.9360 0.0550 0.9450
13 Pu 0.6558 0.7877 0.2123
14 Pu 0.1558 0.2123 0.7877
15 Ho 0.9448 0.0582 0.2781
16 Ho 0.9448 0.7219 0.9418
17 Ho 0.0655 0.3871 0.6129
18 Ho 0.5655 0.6129 0.3871
19 Ho 0.4448 0.2781 0.0582
20 Ho 0.4448 0.9418 0.7219